No. 1
Material: Na3Dy2SnO6
Method: DFT, GGA-PBE
State: optimized geometry Values from VASP.

```
&SYSTEM
  ibrav = 0, nat = 12, ntyp = 4
/
ATOMIC_SPECIES
O 16.00 O.upf
Dy 162.50 Dy.upf
Sn 118.71 Sn.upf
Na 22.99 Na.upf
CELL_PARAMETERS angstrom
5.9165 0.0006 0.0010
-2.9563 5.1250 0.0010
-0.9867 -1.7085 5.6144
ATOMIC_POSITIONS crystal
O 0.2637 0.2637 0.7861
O 0.9286 0.5944 0.7864
O 0.0714 0.4056 0.2136
O 0.5944 0.9286 0.7864
O 0.4056 0.0714 0.2136
O 0.7363 0.7363 0.2139
Dy 0.3331 0.6669 0.0000
Dy 0.6669 0.3331 0.0000
Sn 0.0000 0.0000 0.0000
Na 0.8388 0.1612 0.5000
Na 0.5000 0.5000 0.5000
Na 0.1612 0.8388 0.5000
```

Formation energy (no corrections) (eV per atom): -2.304
SG: C2/m, No. 12
Electronic total energy (eV/atom): -6.213

No. 2
Material: LaCo3B3
Method: DFT, GGA-PBE
State: optimized geometry Values from VASP.

```
&SYSTEM
  ibrav = 0, nat = 14, ntyp = 3
/
ATOMIC_SPECIES
La 138.91 La.upf
B 10.81 B.upf
Co 58.93 Co.upf
CELL_PARAMETERS angstrom
-4.1966 -3.0115 1.0855
-0.9529 -4.3299 -2.8641
2.1504 -6.2352 3.8474
ATOMIC_POSITIONS crystal
La 0.6573 0.6573 0.0280
La 0.3427 0.3427 0.9720
B 0.7083 0.8873 0.3108
B 0.9064 0.2917 0.6892
B 0.0936 0.7083 0.3108
B 0.1127 0.9064 0.6892
B 0.8873 0.0936 0.3108
B 0.2917 0.1127 0.6892
Co 0.8974 0.4346 0.3739
Co 0.4346 0.2941 0.3739
Co 0.1026 0.5654 0.6261
Co 0.5654 0.7059 0.6261
Co 0.7059 0.1026 0.6261
Co 0.2941 0.8974 0.3739
```

SG: R-3, No. 148
Electronic total energy (eV/atom): -6.707

No. 3
Material: RbTlCl3
Method: DFT, GGA-PBE
State: optimized geometry Values from VASP.

```
&SYSTEM
  ibrav = 0, nat = 20, ntyp = 3
/
ATOMIC_SPECIES
Cl 35.45 Cl.upf
Rb 85.47 Rb.upf
Tl 204.38 Tl.upf
CELL_PARAMETERS angstrom
9.2194 -3.8234 2.2568
2.2559 -9.6828 -2.4214
6.6915 -1.9761 -7.4852
ATOMIC_POSITIONS crystal
Cl 0.9627 0.5373 0.5373
Cl 0.2873 0.7127 0.7127
Cl 0.5373 0.9627 0.5373
Cl 0.9627 0.5373 0.9627
Cl 0.9627 0.9627 0.5373
Cl 0.7127 0.2873 0.7127
Cl 0.7127 0.7127 0.2873
Cl 0.5373 0.5373 0.9627
Cl 0.5373 0.9627 0.9627
Cl 0.7127 0.2873 0.2873
Cl 0.2873 0.2873 0.7127
Cl 0.2873 0.7127 0.2873
Rb 0.1250 0.1250 0.1250
Rb 0.6250 0.1250 0.1250
Rb 0.1250 0.1250 0.6250
Rb 0.1250 0.6250 0.1250
Tl 0.6250 0.6250 0.6250
Tl 0.6250 0.1250 0.6250
Tl 0.6250 0.6250 0.1250
Tl 0.1250 0.6250 0.6250
```

Formation energy (no corrections) (eV per atom): -1.147
SG: Fd-3m, No. 227
Electronic total energy (eV/atom): -2.922

No. 4
Material: P2H3Pd8
Method: DFT, GGA-PBE
State: optimized geometry Values from VASP.

```
&SYSTEM
  ibrav = 0, nat = 13, ntyp = 3
/
ATOMIC_SPECIES
Pd 106.42 Pd.upf
H 1.01 H.upf
P 30.97 P.upf
CELL_PARAMETERS angstrom
5.2687 0.0000 0.1506
0.0000 5.8999 0.0000
-1.9484 -2.9499 5.3255
ATOMIC_POSITIONS crystal
Pd 0.5902 0.6383 0.7701
Pd 0.8863 0.1080 0.2159
Pd 0.4098 0.3617 0.2299
Pd 0.5902 0.1317 0.7701
Pd 0.9368 0.6111 0.2221
Pd 0.1137 0.8920 0.7841
Pd 0.4098 0.8683 0.2299
Pd 0.0632 0.3889 0.7779
H 0.5000 0.0000 0.0000
H 0.0000 0.7167 0.0000
H 0.0000 0.2833 0.0000
P 0.6985 0.7469 0.4938
P 0.3015 0.2531 0.5062
```

SG: C2/m, No. 12
Electronic total energy (eV/atom): -5.037

No. 5
Material: DyTh2Tc9
Method: DFT, GGA-PBE
State: optimized geometry Values from VASP.

```
&SYSTEM
  ibrav = 0, nat = 12, ntyp = 3
/
ATOMIC_SPECIES
Tc 98.00 Tc.upf
Dy 162.50 Dy.upf
Th 232.04 Th.upf
CELL_PARAMETERS angstrom
-0.3026 5.2211 1.3837
-1.2425 1.5207 5.1506
8.2103 1.7271 3.5851
ATOMIC_POSITIONS crystal
Tc 0.5753 0.5829 0.7450
Tc 0.5965 0.0660 0.7662
Tc 0.4035 0.9340 0.2338
Tc 0.9452 0.3890 0.2368
Tc 0.6560 0.6338 0.0108
Tc 0.3440 0.3662 0.9892
Tc 0.0548 0.6110 0.7632
Tc 0.4247 0.4171 0.2550
Tc 0.5000 0.5000 0.5000
Dy 0.0000 0.0000 0.0000
Th 0.8564 0.8536 0.4260
Th 0.1436 0.1464 0.5740
```

SG: P-1, No. 2
Electronic total energy (eV/atom): -9.418

No. 6
Material: NbRhF3
Method: DFT, GGA-PBE
State: optimized geometry Values from VASP.

```
&SYSTEM
  ibrav = 0, nat = 5, ntyp = 3
/
ATOMIC_SPECIES
F 19.00 F.upf
Nb 92.91 Nb.upf
Rh 102.91 Rh.upf
CELL_PARAMETERS angstrom
-2.4015 1.8645 2.9804
0.2920 -3.4912 2.4193
3.5035 1.5690 1.8414
ATOMIC_POSITIONS crystal
F 0.0000 0.0000 0.5000
F 0.0000 0.5000 0.0000
F 0.5000 0.0000 0.0000
Nb 0.5000 0.5000 0.5000
Rh 0.0000 0.0000 0.0000
```

Formation energy (no corrections) (eV per atom): -0.365
SG: Pm-3m, No. 221
Energy above the most stable polymorph in this dataset (eV per atom): 0.6892
Electronic total energy (eV/atom): -4.972

No. 7
Material: SrPmZnAu
Method: DFT, GGA-PBE
State: optimized geometry Values from VASP.

```
&SYSTEM
  ibrav = 0, nat = 4, ntyp = 4
/
ATOMIC_SPECIES
Zn 65.41 Zn.upf
Au 196.97 Au.upf
Pm 145.00 Pm.upf
Sr 87.62 Sr.upf
CELL_PARAMETERS angstrom
5.3120 0.0000 0.0000
2.6560 4.6004 0.0000
2.6560 1.5335 4.3373
ATOMIC_POSITIONS crystal
Zn 0.0000 0.0000 0.0000
Au 0.5000 0.5000 0.5000
Pm 0.7500 0.7500 0.7500
Sr 0.2500 0.2500 0.2500
```

SG: F-43m, No. 216
Electronic total energy (eV/atom): -3.201

No. 8
Material: CaScCuSn
Method: DFT, GGA-PBE
State: optimized geometry Values from VASP.

```
&SYSTEM
  ibrav = 0, nat = 4, ntyp = 4
/
ATOMIC_SPECIES
Sn 118.71 Sn.upf
Sc 44.96 Sc.upf
Ca 40.08 Ca.upf
Cu 63.55 Cu.upf
CELL_PARAMETERS angstrom
5.0319 0.0000 0.0000
2.5159 4.3577 0.0000
2.5159 1.4526 4.1085
ATOMIC_POSITIONS crystal
Sn 0.2500 0.2500 0.2500
Sc 0.0000 0.0000 0.0000
Ca 0.5000 0.5000 0.5000
Cu 0.7500 0.7500 0.7500
```

SG: F-43m, No. 216
Electronic total energy (eV/atom): -4.472

No. 9
Material: TaTlGeO6
Method: DFT, GGA-PBE
State: optimized geometry Values from VASP.

```
&SYSTEM
  ibrav = 0, nat = 9, ntyp = 4
/
ATOMIC_SPECIES
Tl 204.38 Tl.upf
O 16.00 O.upf
Ge 72.64 Ge.upf
Ta 180.95 Ta.upf
CELL_PARAMETERS angstrom
-3.4599 3.8838 0.1633
-1.9730 1.9147 -4.4184
-3.5617 -3.1818 0.2116
ATOMIC_POSITIONS crystal
Tl 0.0000 0.0000 0.0000
O 0.0108 0.6278 0.7208
O 0.6277 0.0109 0.2792
O 0.6277 0.3614 0.7208
O 0.3614 0.0109 0.7208
O 0.0108 0.3614 0.2792
O 0.3614 0.6278 0.2792
Ge 0.3333 0.3333 0.5000
Ta 0.6666 0.6667 0.5000
```

Formation energy (no corrections) (eV per atom): -1.783
SG: P312, No. 149
Electronic total energy (eV/atom): -7.181

No. 10
Material: CaCoW2
Method: DFT, GGA-PBE
State: optimized geometry Values from VASP.

```
&SYSTEM
  ibrav = 0, nat = 4, ntyp = 3
/
ATOMIC_SPECIES
Co 58.93 Co.upf
Ca 40.08 Ca.upf
W 183.84 W.upf
CELL_PARAMETERS angstrom
5.6161 -0.0291 0.0006
-3.0470 4.7178 0.0006
0.4248 0.7753 2.5547
ATOMIC_POSITIONS crystal
Co 0.0000 0.5000 0.5000
Ca 0.5000 0.0000 0.5000
W 0.5000 0.5000 0.0000
W 0.0000 0.0000 0.0000
```

SG: C2/m, No. 12
Energy above the most stable polymorph in this dataset (eV per atom): 0.2977
Electronic total energy (eV/atom): -7.973

No. 11
Material: TiW2Cl
Method: DFT, GGA-PBE
State: optimized geometry Values from VASP.

```
&SYSTEM
  ibrav = 0, nat = 8, ntyp = 3
/
ATOMIC_SPECIES
Cl 35.45 Cl.upf
Ti 47.87 Ti.upf
W 183.84 W.upf
CELL_PARAMETERS angstrom
3.6777 0.0000 0.0000
0.0000 3.6777 0.0000
1.8389 1.8389 10.3381
ATOMIC_POSITIONS crystal
Cl 0.5000 0.5000 0.0000
Cl 0.2500 0.7500 0.5000
Ti 0.7500 0.2500 0.5000
Ti 0.0000 0.0000 0.0000
W 0.1126 0.6250 0.2500
W 0.6374 0.1250 0.2500
W 0.3750 0.3626 0.7500
W 0.8750 0.8874 0.7500
```

Formation energy (no corrections) (eV per atom): 0.750
SG: I-42d, No. 122
Energy above the most stable polymorph in this dataset (eV per atom): 0.0000
Electronic total energy (eV/atom): -8.162

No. 12
Material: Li2In2Ag2Hg
Method: DFT, GGA-PBE
State: optimized geometry Values from VASP.

```
&SYSTEM
  ibrav = 0, nat = 7, ntyp = 4
/
ATOMIC_SPECIES
Hg 200.59 Hg.upf
In 114.82 In.upf
Ag 107.87 Ag.upf
Li 6.94 Li.upf
CELL_PARAMETERS angstrom
4.8490 0.0000 0.0000
-2.4245 3.7712 0.0359
0.0000 -0.3616 8.8104
ATOMIC_POSITIONS crystal
Hg 0.0000 0.0000 0.5000
In 0.3207 0.6415 0.0784
In 0.6793 0.3585 0.9216
Ag 0.3453 0.6905 0.3922
Ag 0.6547 0.3095 0.6078
Li 0.3139 0.6279 0.7327
Li 0.6861 0.3721 0.2673
```

SG: C2/m, No. 12
Electronic total energy (eV/atom): -2.275